This record from Alexandria describes crystalline V4ReGe2 at its relaxed geometry. The functional is PBE-GGA.

```
data_V4ReGe2
_chemical_formula_sum 'V4 Re1 Ge2'
_space_group_name_H-M_alt 'P 1'
_space_group_IT_number 1
_cell_length_a 4.512
_cell_length_b 4.512
_cell_length_c 7.342
_cell_angle_alpha 72.10
_cell_angle_beta 72.10
_cell_angle_gamma 90.00
loop_
_space_group_symop_operation_xyz
'x,y,z'
loop_
_atom_site_label
_atom_site_type_symbol
_atom_site_fract_x
_atom_site_fract_y
_atom_site_fract_z
V1 V 0.500 0.000 0.000
V2 V 0.818 0.818 0.363
V3 V 0.182 0.182 0.637
V4 V 0.000 0.500 0.000
Re1 Re 0.000 0.000 0.000
Ge1 Ge 0.372 0.372 0.256
Ge2 Ge 0.628 0.628 0.744
```

Results
The spin magnetization comes out at 2.38 μB/cell. For the total energy, the calculation gives -7.46 eV/atom. As for the relative energy among the computed polymorphs: 6.48 eV/f.u. The energy relative to the elements is 0.85 eV per atom. Its calculated volume is 19.235 Å³ per atom. As for the symmetry: I4/mmm.